## Si2RuRh (PBEsol)

Data for a relaxed Si2RuRh crystal.

Cell: 2.8191 2.8191 7.6929 Å, 79.44 79.44 60.00°
Atoms (fractional coordinates):
Rh 0.5000 0.5000 0.5000
Si 0.7495 0.7495 0.7515
Si 0.2505 0.2505 0.2485
Ru 0.0000 0.0000 0.0000

Summary:
- Raw total energy: -8.03 eV per atom
- Total moment: 0.00 μB per cell
- SG: R-3m (166)
- Formation energy from raw total energies: -0.574 eV/atom